CsMn2Cu2O6 after structural relaxation. Source: the Alexandria database, functional PBE with a Hubbard U.

Lattice parameters (Å, degrees): 5.675 6.069 6.256 99.96 107.26 116.66
Fractional positions:
Cs 0.000 0.000 0.000
Mn 0.320 0.061 0.604
Mn 0.680 0.939 0.396
Cu 0.303 0.590 0.754
Cu 0.697 0.410 0.246
O 0.103 0.238 0.561
O 0.419 0.729 0.072
O 0.449 0.817 0.592
O 0.551 0.183 0.408
O 0.581 0.271 0.928
O 0.897 0.762 0.439

Computed properties:
Its size of the total moment is 4.991 μB/f.u. As for the space group: No. 2. For the energy, the calculation gives -64.74 eV/f.u.